(1)
AcY2TcN4 after structural relaxation. Source: Alexandria via LeMat-Bulk, functional PBE-GGA.

The formation energy without anion corrections is -24.18 kcal/mol of atoms.

The structure belongs to space group Cmcm (No. 63); the cell edges are 3.537, 11.975 and 11.763 Å and the angles 90.00°, 90.00° and 90.00°. Symmetry generates all atoms from Ac at (0.000, 0.110, 0.250), Y at (0.000, 0.368, 0.041), Tc at (0.000, 0.152, 0.750), N at (0.000, 0.000, 0.000), N at (0.000, 0.262, 0.623) and N at (0.000, 0.425, 0.250).

***

(2)
Ac2ZnTc2N6 after structural relaxation. Source: Alexandria via LeMat-Bulk, functional PBE-GGA.

The formation energy without anion corrections is -6.11 kcal/mol of atoms.

The structure belongs to space group R-3m (No. 166, hexagonal axes); the cell edges are 6.0019, 6.0019 and 16.7157 Å and the angles 90.00°, 90.00° and 120.00°. Symmetry generates all atoms from Ac at (0.0000, 0.0000, 0.2144), Zn at (0.0000, 0.0000, 0.0000), Tc at (0.0000, 0.0000, 0.4277) and N at (0.0166, 0.5083, 0.7504).

***

(3)
Ac3ZrTc2N6 after structural relaxation. Source: Alexandria via LeMat-Bulk, functional PBE-GGA.

The formation energy without anion corrections is -19.31 kcal/mol of atoms.

The structure belongs to space group P-3m1 (No. 164); the cell edges are 5.9763, 5.9763 and 6.8226 Å and the angles 90.00°, 90.00° and 120.00°. Symmetry generates all atoms from Ac at (0.0000, 0.0000, 0.0000), Ac at (0.3333, 0.6667, 0.6695), Zr at (0.0000, 0.0000, 0.5000), Tc at (0.3333, 0.6667, 0.1925) and N at (0.1691, 0.3381, 0.3040).

***

(4)
Ac6Te5N2 after structural relaxation. Source: Alexandria via LeMat-Bulk, functional PBE-GGA.

The formation energy without anion corrections is -33.79 kcal/mol of atoms.

The structure belongs to space group Pbam (No. 55); the cell edges are 12.878, 15.647 and 4.311 Å and the angles 90.00°, 90.00° and 90.00°. Symmetry generates all atoms from Ac at (0.024, 0.125, 0.000), Ac at (0.174, 0.605, 0.000), Ac at (0.177, 0.304, 0.500), Te at (0.000, 0.500, 0.500), Te at (0.078, 0.743, 0.500), Te at (0.164, 0.993, 0.500) and N at (0.176, 0.216, 0.000).

***

(5)
Ac4Te2N after structural relaxation. Source: Alexandria via LeMat-Bulk, functional PBE-GGA.

The formation energy without anion corrections is -18.69 kcal/mol of atoms.

The structure belongs to space group I4/mmm (No. 139); the cell edges are 4.934, 4.934 and 21.282 Å and the angles 90.00°, 90.00° and 90.00°. Symmetry generates all atoms from Ac at (0.000, 0.000, 0.178), Ac at (0.000, 0.500, 0.000), Te at (0.000, 0.000, 0.336) and N at (0.000, 0.000, 0.500).

***

(6)
AcTeN after structural relaxation. Source: Alexandria via LeMat-Bulk, functional PBE-GGA.

The formation energy without anion corrections is -19.94 kcal/mol of atoms. Its offset from the most stable computed form is 120 meV per atom.

The structure belongs to space group P-1 (No. 2); the cell edges are 4.612, 4.617 and 9.474 Å and the angles 84.82°, 85.47° and 60.87°. Symmetry generates all atoms from Ac at (0.182, 0.189, 0.351), Te at (0.137, 0.122, 0.851) and N at (0.156, 0.151, 0.615).

***

(7)
Ac2TeN2 after structural relaxation. Source: Alexandria via LeMat-Bulk, functional PBE-GGA.

The formation energy without anion corrections is -27.90 kcal/mol of atoms.

The structure belongs to space group C2/c (No. 15); the cell edges are 15.351, 4.514 and 7.102 Å and the angles 90.00°, 99.93° and 90.00°. Symmetry generates all atoms from Ac at (0.153, 0.221, 0.151), Te at (0.000, 0.278, 0.750) and N at (0.226, 0.368, 0.529).

***

(8)
Ac3Te2N2 after structural relaxation. Source: Alexandria via LeMat-Bulk, functional PBE-GGA.

The formation energy without anion corrections is -30.47 kcal/mol of atoms.

The structure belongs to space group C2/m (No. 12); the cell edges are 13.487, 4.362 and 8.278 Å and the angles 90.00°, 122.28° and 90.00°. Symmetry generates all atoms from Ac at (0.000, 0.000, 0.000), Ac at (0.194, 0.000, 0.764), Te at (0.071, 0.500, 0.350) and N at (0.198, 0.000, 0.074).

***

(9)
Ac5Te5N2 after structural relaxation. Source: Alexandria via LeMat-Bulk, functional PBE-GGA.

The formation energy without anion corrections is -32.15 kcal/mol of atoms.

The structure belongs to space group C2/m (No. 12); the cell edges are 15.234, 4.347 and 11.754 Å and the angles 90.00°, 99.93° and 90.00°. Symmetry generates all atoms from Ac at (0.000, 0.000, 0.000), Ac at (0.093, 0.000, 0.336), Ac at (0.137, 0.500, 0.787), Te at (0.000, 0.500, 0.500), Te at (0.162, 0.500, 0.097), Te at (0.237, 0.000, 0.615) and N at (0.047, 0.000, 0.801).

***

(10)
AcTeN after structural relaxation. Source: Alexandria via LeMat-Bulk, functional PBE-GGA.

The formation energy without anion corrections is -22.72 kcal/mol of atoms. Its offset from the most stable computed form is 0 meV per atom.

The structure belongs to space group C2/m (No. 12); the cell edges are 6.625, 6.626 and 9.992 Å and the angles 90.00°, 109.23° and 90.00°. Symmetry generates all atoms from Ac at (0.171, 0.000, 0.342), Te at (0.149, 0.500, 0.297) and N at (0.031, 0.000, 0.061).

***

(11)
Ac3Te2N after structural relaxation. Source: Alexandria via LeMat-Bulk, functional PBE-GGA.

The formation energy without anion corrections is -28.83 kcal/mol of atoms. Its offset from the most stable computed form is 58 meV per atom.

The structure belongs to space group Immm (No. 71); the cell edges are 4.122, 6.413 and 14.318 Å and the angles 90.00°, 90.00° and 90.00°. Symmetry generates all atoms from Ac at (0.000, 0.000, 0.000), Ac at (0.000, 0.000, 0.376), Te at (0.000, 0.500, 0.317) and N at (0.000, 0.500, 0.000).

***

(12)
Ac7Te4N4 after structural relaxation. Source: Alexandria via LeMat-Bulk, functional PBE-GGA.

The formation energy without anion corrections is -22.98 kcal/mol of atoms.

The structure belongs to space group I4/mmm (No. 139); the cell edges are 15.409, 15.409 and 7.084 Å and the angles 90.00°, 90.00° and 90.00°. Symmetry generates all atoms from Ac at (0.000, 0.000, 0.244), Ac at (0.000, 0.302, 0.000), Ac at (0.000, 0.376, 0.500), Ac at (0.212, 0.212, 0.500), Te at (0.000, 0.175, 0.500), Te at (0.137, 0.137, 0.000) and N at (0.123, 0.377, 0.250).